Density functional theory data (PBE) for a relaxed Nd8Co3CCl4 crystal.

Properties
Formation energy (no corrections) (meV/atom): -830.8
DOS at the Fermi energy (states/eV per cell): 8.62

a = 7.876 Å, b = 8.734 Å, c = 7.875 Å
α = 116.82°, β = 120.00°, γ = 90.00°
Positions (direct):
Co: 0.500 0.500 0.000
Nd: 0.257 0.307 0.032
Nd: 0.225 0.693 0.451
Nd: 0.775 0.307 0.549
Nd: 0.264 0.293 0.529
Nd: 0.736 0.707 0.471
Co: 0.000 0.500 0.500
Cl: 0.500 0.000 0.000
Nd: 0.775 0.307 0.032
Cl: 0.000 0.000 0.500
Co: 0.500 0.500 0.500
Cl: 0.500 0.000 0.500
Nd: 0.743 0.693 0.968
Nd: 0.225 0.693 0.968
C: 0.000 0.500 0.000
Cl: 0.000 0.000 0.000